14
Lattice="8.9781 0.0000 0.0000 -4.4890 7.7753 0.0000 0.0000 0.0000 5.3128" Properties=species:S:1:pos:R:3 comment="Er3Sc3In (PBE, optimized geometry)" crystal_system=hexagonal sg="P6_3/m, No. 176" formation_enthalpy_0k_ev_per_atom=-0.10 pbc="T T T"
Er -0.5050 1.9515 1.3282
Er -2.5465 7.2369 1.3282
Er 1.4375 1.4131 3.9846
Er 3.0515 6.3621 1.3282
Er 7.0355 0.5384 3.9846
Er 4.9941 5.8238 3.9846
Sc -1.2295 3.8156 3.9846
Sc -0.5699 6.9323 3.9846
Sc 2.6896 2.9726 1.3282
Sc 1.7994 4.8026 3.9846
Sc 5.0589 0.8430 1.3282
Sc 5.7186 3.9597 1.3282
In 0.0000 5.1835 1.3282
In 4.4891 2.5917 3.9846


10
Lattice="7.8230 0.0000 0.0000 0.0000 7.8230 0.0000 0.0000 0.0000 6.0582" Properties=species:S:1:pos:R:3 comment="Se2SI2 (PBE, optimized geometry)" crystal_system=tetragonal e_form_raw_kj_per_mol_atoms=35 sg="P4/mbm, No. 127" pbc="T T T"
Se 0.7703 3.1412 0.0000
Se 3.1412 7.0527 0.0000
Se 4.6818 0.7703 0.0000
Se 7.0527 4.6818 0.0000
S 0.0000 0.0000 3.0291
S 3.9115 3.9115 3.0291
I 1.8458 2.0657 3.0291
I 2.0657 5.9772 3.0291
I 5.7573 1.8458 3.0291
I 5.9772 5.7573 3.0291


5
Lattice="5.3227 0.0000 0.0000 0.0000 5.3227 0.0000 0.0000 0.0000 5.4554" Properties=species:S:1:pos:R:3 comment="AgPtI2Cl (PBE, optimized geometry)" crystal_system=tetragonal e_form_raw_kj_per_mol_atoms=26 sg="P4/mmm, No. 123" pbc="T T T"
Ag 0.0000 0.0000 0.0000
Pt 0.0000 0.0000 2.7277
I 0.0000 2.6614 2.7277
I 2.6614 0.0000 2.7277
Cl 2.6614 2.6614 0.0000


8
Lattice="3.3451 0.0000 0.0000 0.0000 3.4282 0.0000 0.0000 0.0000 14.8233" Properties=species:S:1:pos:R:3 comment="Zr2CoBr (PBE, optimized geometry)" crystal_system=orthorhombic e_form_raw_kj_per_mol_atoms=-30 sg="Imm2, No. 44" pbc="T T T"
Zr 0.0000 0.0000 0.0000
Zr 0.0000 1.7141 4.5706
Zr 1.6726 0.0000 11.9823
Zr 1.6726 1.7141 7.4117
Co 0.0000 0.0000 6.4176
Co 1.6726 1.7141 13.8292
Br 0.0000 1.7141 10.1857
Br 1.6726 0.0000 2.7740


5
Lattice="4.3692 0.0000 0.0000 0.0000 4.3692 0.0000 0.0000 0.0000 4.3692" Properties=species:S:1:pos:R:3 comment="MnSiP3 (PBE, optimized geometry)" crystal_system=cubic e_form_raw_kj_per_mol_atoms=66 sg="Pm-3m, No. 221" pbc="T T T"
Mn 0.0000 0.0000 0.0000
Si 2.1846 2.1846 2.1846
P 0.0000 0.0000 2.1846
P 0.0000 2.1846 0.0000
P 2.1846 0.0000 0.0000


4
Lattice="3.2553 0.0000 0.0000 0.0000 4.0738 0.0000 0.0000 0.0000 6.5221" Properties=species:S:1:pos:R:3 comment="ScSiHg2 (PBE, optimized geometry)" crystal_system=orthorhombic e_form_raw_kj_per_mol_atoms=-6 sg="Pmm2, No. 25" pbc="T T T"
Sc 0.0000 0.0000 0.0000
Si 1.6277 2.0369 0.9921
Hg 0.0000 0.0000 3.0231
Hg 1.6277 2.0369 4.7096


12
Lattice="3.4794 -6.0265 0.0000 3.4794 6.0265 0.0000 -2.3189 0.0000 6.5284" Properties=species:S:1:pos:R:3 comment="Li3Tm2PaSe6 (PBE, optimized geometry)" crystal_system=monoclinic e_form_raw_kj_per_mol_atoms=-147 sg="C2/m, No. 12" pbc="T T T"
Li 0.0000 0.0000 0.0000
Li 3.4794 2.0202 0.0000
Li 3.4794 -2.0202 0.0000
Tm 2.3199 4.0181 3.2642
Tm 2.3199 -4.0181 3.2642
Pa 2.3199 0.0000 3.2642
Se 1.1480 2.0295 1.5935
Se -0.0231 0.0000 4.9346
Se 1.1480 -2.0295 1.5935
Se 3.4919 2.0295 4.9349
Se 4.6630 0.0000 1.5938
Se 3.4919 -2.0295 4.9349


10
Lattice="4.1746 0.0000 0.0000 0.0000 4.1746 0.0000 0.0000 0.0000 10.2283" Properties=species:S:1:pos:R:3 comment="PmCuSi2Au (PBE, optimized geometry)" crystal_system=tetragonal e_form_raw_kj_per_mol_atoms=-59 sg="I-4m2, No. 119" pbc="T T T"
Pm 0.0000 0.0000 0.0000
Pm 2.0873 2.0873 5.1142
Cu 0.0000 2.0873 7.6712
Cu 2.0873 0.0000 2.5571
Si 0.0000 0.0000 3.9349
Si 0.0000 0.0000 6.2934
Si 2.0873 2.0873 1.1793
Si 2.0873 2.0873 9.0490
Au 0.0000 2.0873 2.5571
Au 2.0873 0.0000 7.6712


6
Lattice="3.1670 0.0000 0.0000 0.0000 3.1670 0.0000 0.0000 0.0000 8.2969" Properties=species:S:1:pos:R:3 comment="AlCrGe (PBE, optimized geometry)" crystal_system=tetragonal sg="I4mm, No. 107" formation_enthalpy_0k_ev_per_atom=-0.06 pbc="T T T"
Al 0.0000 0.0000 0.0000
Al 1.5835 1.5835 4.1485
Cr 0.0000 0.0000 5.5319
Cr 1.5835 1.5835 1.3835
Ge 0.0000 0.0000 2.6434
Ge 1.5835 1.5835 6.7919


16
Lattice="6.6155 0.0000 0.0000 0.0000 6.6155 0.0000 0.0000 0.0000 10.0806" Properties=species:S:1:pos:R:3 comment="Ga2AgSb (PBE, optimized geometry)" crystal_system=tetragonal e_form_raw_kj_per_mol_atoms=19 sg="I-42d, No. 122" pbc="T T T"
Ga 1.5766 1.6539 1.2601
Ga 1.6539 4.8844 3.7802
Ga 1.6539 5.0389 8.8205
Ga 1.7311 1.6539 6.3004
Ga 4.8844 4.9616 6.3004
Ga 4.9616 1.5766 8.8205
Ga 4.9616 1.7311 3.7802
Ga 5.0389 4.9616 1.2601
Ag 0.0000 0.0000 0.0000
Ag 0.0000 3.3078 2.5202
Ag 3.3078 0.0000 7.5605
Ag 3.3078 3.3078 5.0403
Sb 0.0000 0.0000 5.0403
Sb 0.0000 3.3078 7.5605
Sb 3.3078 0.0000 2.5202
Sb 3.3078 3.3078 0.0000


10
Lattice="4.0412 0.0000 0.0000 0.0000 4.0412 0.0000 0.0000 0.0000 10.2394" Properties=species:S:1:pos:R:3 comment="PaSi2PdRh (PBE, optimized geometry)" crystal_system=tetragonal e_form_raw_kj_per_mol_atoms=-83 sg="I-4m2, No. 119" pbc="T T T"
Pa 0.0000 0.0000 0.0000
Pa 2.0206 2.0206 5.1197
Si 0.0000 0.0000 3.9667
Si 0.0000 0.0000 6.2727
Si 2.0206 2.0206 1.1530
Si 2.0206 2.0206 9.0864
Pd 0.0000 2.0206 7.6796
Pd 2.0206 0.0000 2.5599
Rh 0.0000 2.0206 2.5599
Rh 2.0206 0.0000 7.6796


12
Lattice="2.5624 0.0000 0.0000 -1.2812 2.2191 0.0000 0.0000 0.0000 23.9681" Properties=species:S:1:pos:R:3 comment="Mn2CrSi (PBE, optimized geometry)" crystal_system=trigonal e_form_raw_kj_per_mol_atoms=3 sg="R3m, No. 160" pbc="T T T"
Mn 0.0000 0.0000 0.0000
Mn 0.0000 0.0000 6.0748
Mn 0.0000 1.4794 15.9787
Mn 0.0000 1.4794 22.0535
Mn 1.2812 0.7397 7.9893
Mn 1.2812 0.7397 14.0642
Cr 0.0000 0.0000 18.0145
Cr 0.0000 1.4794 10.0251
Cr 1.2812 0.7397 2.0358
Si 0.0000 0.0000 12.0749
Si 0.0000 1.4794 4.0855
Si 1.2812 0.7397 20.0643


Here are the calculated theoretical density numbers, same order: 6.73; 3.98; 6.36; 6.28; 3.50; 9.10; 6.45; 8.60; 6.05; 5.56; 9.86; 6.94 (Mg/m³).
Here are the calculated total magnetization numbers, same order: 2.0; 1.9; 0.0; 0.0; 0.0; 0.0; 1.7; 0.0; 1.8; 0.0; 0.0; 1.1 (μB/cell).